Material: Al2CoHg
Method: DFT, PBE
State: optimized geometry

Output
For the energy of formation from the pure elements, the calculation gives 0.083 eV per atom. As for the total magnetic moment: 0.00 μB/f.u. The calculation puts the total energy at -3.64 eV per atom. The polymorph energy (0 for the lowest one) comes out at 293 meV per atom.

Lattice parameters (Å, degrees): 4.012 4.012 3.769 90.00 90.00 90.00
Fractional positions:
Al 0.000 0.500 0.000
Al 0.500 0.000 0.000
Co 0.000 0.000 0.500
Hg 0.500 0.500 0.500



Material: PrDyErZn
Method: DFT, PBE
State: optimized geometry

Output
For the energy of formation from the pure elements, the calculation gives -0.164 eV per atom. As for the total magnetic moment: 0.00 μB/f.u. The calculation puts the total energy at -3.97 eV per atom. The polymorph energy (0 for the lowest one) comes out at 0 meV per atom.

Lattice parameters (Å, degrees): 3.584 3.584 8.738 90.00 90.00 90.00
Fractional positions:
Pr 0.000 0.000 0.000
Dy 0.500 0.500 0.699
Er 0.500 0.500 0.298
Zn 0.000 0.000 0.495



Material: Pm2Te3F
Method: DFT, PBE
State: optimized geometry

Output
As for the total magnetic moment: 0.00 μB/f.u. The calculation puts the total energy at -5.16 eV per atom. As for the formation energy (no corrections): -1.694 eV per atom. The polymorph energy (0 for the lowest one) comes out at 126 meV per atom.

Lattice parameters (Å, degrees): 8.577 8.577 11.486 115.17 115.17 31.13
Fractional positions:
Pm 0.099 0.099 0.446
Pm 0.353 0.353 0.179
Pm 0.647 0.647 0.821
Pm 0.901 0.901 0.554
Te 0.143 0.143 0.993
Te 0.271 0.271 0.377
Te 0.444 0.444 0.760
Te 0.556 0.556 0.240
Te 0.729 0.729 0.623
Te 0.857 0.857 0.007
F 0.059 0.059 0.624
F 0.941 0.941 0.376



Material: LaAl2VW
Method: DFT, PBE
State: optimized geometry

Output
For the energy of formation from the pure elements, the calculation gives 2.204 eV per atom. As for the total magnetic moment: 3.24 μB/f.u. The calculation puts the total energy at -4.69 eV per atom.

Lattice parameters (Å, degrees): 5.356 5.356 4.879 90.00 90.00 90.00
Fractional positions:
La 0.000 0.000 0.000
Al 0.000 0.500 0.000
Al 0.500 0.000 0.000
V 0.500 0.500 0.500
W 0.000 0.000 0.500



Material: Li2Co2Si
Method: DFT, PBE
State: optimized geometry

Output
As for the total magnetic moment: 0.00 μB/f.u. The calculation puts the total energy at -4.45 eV per atom. As for the formation energy (no corrections): 0.242 eV per atom. The polymorph energy (0 for the lowest one) comes out at 340 meV per atom.

Lattice parameters (Å, degrees): 7.066 7.066 7.066 156.41 156.41 33.61
Fractional positions:
Li 0.250 0.750 0.500
Li 0.750 0.250 0.500
Co 0.094 0.094 0.000
Co 0.906 0.906 0.000
Si 0.500 0.500 0.000



Material: LiPuGaPb
Method: DFT, PBE
State: optimized geometry

Output
For the energy of formation from the pure elements, the calculation gives -0.188 eV per atom. As for the total magnetic moment: 5.68 μB/f.u. The calculation puts the total energy at -5.93 eV per atom.

Lattice parameters (Å, degrees): 5.105 5.105 5.105 60.00 60.00 60.00
Fractional positions:
Li 0.000 0.000 0.000
Pu 0.500 0.500 0.500
Ga 0.750 0.750 0.750
Pb 0.250 0.250 0.250